Na2CeTl2Se4 | PBE | optimized geometry

The structure belongs to space group C2/m (No. 12); the cell edges are 17.338, 4.437 and 7.867 Å and the angles 90.00°, 116.53° and 90.00°. The inequivalent atoms are Na at (0.166, 0.000, 0.411), Ce at (0.000, 0.500, 0.000), Tl at (0.158, 0.500, 0.778), Se at (0.016, 0.000, 0.780) and Se at (0.188, 0.500, 0.201).

The calculation puts the formation energy without anion corrections at -0.997 eV/atom. The density comes out at 5.6 g/cm3. The total moment is 0.000 μB/atom. The value obtained for the calculated total energy is -4.024 eV per atom.